Entry 1:
Material: LiMnGe
Method: DFT, PBE
State: relaxed

Lattice parameters (Å, degrees): 4.6008 4.6008 4.6008 137.60 137.60 61.52
Element x y z (fractional)
Li  0.0000  0.0000  0.0000
Mn  0.3266  0.3266  0.0000
Ge  0.6745  0.6745  0.0000

Calculated values
N(E_F)   0.71 states/eV/atom
VASP energy   -15.6 eV/cell
Space group   I4mm (107)
ΔH_f (0 K)   0.0208 eV per atom

***

Entry 2:
Material: Sc2GaOs
Method: DFT, PBE
State: relaxed

Lattice parameters (Å, degrees): 9.9136 9.9136 9.9136 18.16 18.16 18.16
Element x y z (fractional)
Sc  0.0982  0.0982  0.0982
Sc  0.9018  0.9018  0.9018
Ga  0.0000  0.0000  0.0000
Os  0.5000  0.5000  0.5000

Calculated values
N(E_F)   0.66 states/eV/atom
VASP energy   -26.8 eV/cell
Space group   R-3m (166)
ΔH_f (0 K)   0.0313 eV per atom

***

Entry 3:
Material: YBe2In
Method: DFT, PBE
State: relaxed

Lattice parameters (Å, degrees): 3.5034 4.2320 5.2632 90.00 90.00 90.00
Element x y z (fractional)
Y  0.0000  0.0000  0.0000
Be  0.5000  0.5000  0.2168
Be  0.5000  0.5000  0.7832
In  0.5000  0.0000  0.5000

Calculated values
N(E_F)   0.46 states/eV/atom
VASP energy   -16.0 eV/cell
Space group   Pmmm (47)
ΔH_f (0 K)   0.1589 eV per atom

***

Entry 4:
Material: Ac5Ge2PN
Method: DFT, PBE
State: relaxed

Lattice parameters (Å, degrees): 9.7115 9.7115 13.1992 90.00 90.00 153.03
Element x y z (fractional)
Ac  0.0027  0.9973  0.5000
Ac  0.1424  0.8576  0.7284
Ac  0.1771  0.8229  0.0921
Ac  0.2068  0.7932  0.4040
Ac  0.4609  0.5391  0.7459
Ac  0.5391  0.4609  0.2459
Ac  0.7932  0.2068  0.9040
Ac  0.8229  0.1771  0.5921
Ac  0.8576  0.1424  0.2284
Ac  0.9973  0.0027  0.0000
Ge  0.3746  0.6254  0.0454
Ge  0.3853  0.6147  0.4095
Ge  0.6147  0.3853  0.9095
Ge  0.6254  0.3746  0.5454
P  0.2987  0.7013  0.7447
P  0.7013  0.2987  0.2447
N  0.0469  0.9531  0.1650
N  0.9531  0.0469  0.6650

Calculated values
Formation energy from raw total energies   -0.910 eV per atom
N(E_F)   0.62 states/eV/atom
VASP energy   -103.4 eV/cell
Space group   Cmc2_1 (36)

***

Entry 5:
Material: LaTcAsSe2
Method: DFT, PBE
State: relaxed

Lattice parameters (Å, degrees): 5.6478 5.6478 5.7105 90.00 90.00 90.00
Element x y z (fractional)
La  0.0000  0.0000  0.0000
Tc  0.5000  0.5000  0.5000
As  0.0000  0.0000  0.5000
Se  0.0000  0.5000  0.0000
Se  0.5000  0.0000  0.0000

Calculated values
Formation energy from raw total energies   0.760 eV per atom
N(E_F)   1.22 states/eV/atom
VASP energy   -23.1 eV/cell
Space group   P4/mmm (123)
Distance to the lowest polymorph of the same formula   1291 meV per atom

***

Entry 6:
Material: HfZrC2
Method: DFT, PBE
State: relaxed

Lattice parameters (Å, degrees): 6.2164 6.2164 6.2164 131.80 131.80 70.54
Element x y z (fractional)
Hf  0.0000  0.0000  0.0000
Hf  0.7500  0.2500  0.5000
Zr  0.2500  0.7500  0.5000
Zr  0.5000  0.5000  0.0000
C  0.1204  0.6250  0.9954
C  0.3750  0.3704  0.4954
C  0.6296  0.1250  0.0046
C  0.8750  0.8796  0.5046

Calculated values
N(E_F)   0.00 states/eV/atom
VASP energy   -75.9 eV/cell
Space group   I-42d (122)
Distance to the lowest polymorph of the same formula   627 meV per atom
ΔH_f (0 K)   -0.2458 eV per atom

***

Entry 7:
Material: BC2
Method: DFT, PBE
State: relaxed

Lattice parameters (Å, degrees): 3.6595 3.7788 5.9401 90.00 110.05 90.00
Element x y z (fractional)
B  0.2119  0.1619  0.1068
B  0.2119  0.8381  0.6068
B  0.7881  0.1619  0.3932
B  0.7881  0.8381  0.8932
C  0.0000  0.3884  0.2500
C  0.0000  0.6116  0.7500
C  0.3328  0.3757  0.9089
C  0.3328  0.6243  0.4089
C  0.5000  0.1504  0.7500
C  0.5000  0.8496  0.2500
C  0.6672  0.3757  0.5911
C  0.6672  0.6243  0.0911

Calculated values
N(E_F)   0.05 states/eV/atom
VASP energy   -97.2 eV/cell
Space group   P2/c (13)
Distance to the lowest polymorph of the same formula   38 meV per atom
ΔH_f (0 K)   0.2779 eV per atom